# TmCd3Hg3 PBE relaxed
data_TmCd3Hg3
_chemical_formula_sum 'Tm2 Cd6 Hg6'
_cell_length_a 7.811
_cell_length_b 7.811
_cell_length_c 7.811
_cell_angle_alpha 90.00
_cell_angle_beta 90.00
_cell_angle_gamma 90.00
_space_group_name_H-M_alt 'P 1'
_space_group_IT_number 1
loop_
_space_group_symop_operation_xyz
'x,y,z'
loop_
_atom_site_label
_atom_site_fract_x
_atom_site_fract_y
_atom_site_fract_z
Tm1 0.000 0.000 0.000
Tm2 0.500 0.500 0.500
Cd1 0.000 0.250 0.500
Cd2 0.000 0.750 0.500
Cd3 0.250 0.500 0.000
Cd4 0.500 0.000 0.250
Cd5 0.500 0.000 0.750
Cd6 0.750 0.500 0.000
Hg1 0.000 0.500 0.250
Hg2 0.000 0.500 0.750
Hg3 0.250 0.000 0.500
Hg4 0.500 0.250 0.000
Hg5 0.500 0.750 0.000
Hg6 0.750 0.000 0.500
# Formation energy ... 0.459 eV/atom
# Total moment ... 0.0000 μB per atom
# Energy relative to the lowest polymorph listed for this composition ... 0.5887 eV/atom

# BaAlMo PBE relaxed
data_BaAlMo
_chemical_formula_sum 'Ba1 Al1 Mo1'
_cell_length_a 3.159
_cell_length_b 3.159
_cell_length_c 8.063
_cell_angle_alpha 90.00
_cell_angle_beta 90.00
_cell_angle_gamma 120.00
_space_group_name_H-M_alt 'P 1'
_space_group_IT_number 1
loop_
_space_group_symop_operation_xyz
'x,y,z'
loop_
_atom_site_label
_atom_site_fract_x
_atom_site_fract_y
_atom_site_fract_z
Ba1 0.000 0.000 0.000
Al1 0.667 0.333 0.617
Mo1 0.333 0.667 0.365
# Formation energy ... 0.862 eV/atom
# Total moment ... 0.0001 μB per atom
# Energy relative to the lowest polymorph listed for this composition ... 0.3839 eV/atom

# Tc5Os PBE relaxed
data_Tc5Os
_chemical_formula_sum 'Tc5 Os1'
_cell_length_a 4.978
_cell_length_b 4.978
_cell_length_c 4.440
_cell_angle_alpha 90.00
_cell_angle_beta 90.00
_cell_angle_gamma 120.00
_space_group_name_H-M_alt 'P 1'
_space_group_IT_number 1
loop_
_space_group_symop_operation_xyz
'x,y,z'
loop_
_atom_site_label
_atom_site_fract_x
_atom_site_fract_y
_atom_site_fract_z
Tc1 0.000 0.500 0.000
Tc2 0.333 0.667 0.500
Tc3 0.500 0.000 0.000
Tc4 0.500 0.500 0.000
Tc5 0.667 0.333 0.500
Os1 0.000 0.000 0.500
# Formation energy ... 0.684 eV/atom
# Total moment ... 0.0000 μB per atom
# Energy relative to the lowest polymorph listed for this composition ... 0.7124 eV/atom

# TlGaBrCl PBE relaxed
data_TlGaBrCl
_chemical_formula_sum 'Tl4 Ga4 Br4 Cl4'
_cell_length_a 7.729
_cell_length_b 7.729
_cell_length_c 7.729
_cell_angle_alpha 90.00
_cell_angle_beta 90.00
_cell_angle_gamma 90.00
_space_group_name_H-M_alt 'P 1'
_space_group_IT_number 1
loop_
_space_group_symop_operation_xyz
'x,y,z'
loop_
_atom_site_label
_atom_site_fract_x
_atom_site_fract_y
_atom_site_fract_z
Tl1 0.000 0.000 0.000
Tl2 0.000 0.500 0.500
Tl3 0.500 0.000 0.500
Tl4 0.500 0.500 0.000
Ga1 0.000 0.000 0.500
Ga2 0.000 0.500 0.000
Ga3 0.500 0.000 0.000
Ga4 0.500 0.500 0.500
Br1 0.250 0.250 0.250
Br2 0.250 0.750 0.750
Br3 0.750 0.250 0.750
Br4 0.750 0.750 0.250
Cl1 0.250 0.250 0.750
Cl2 0.250 0.750 0.250
Cl3 0.750 0.250 0.250
Cl4 0.750 0.750 0.750
# Total moment ... 0.0000 μB per atom
# Energy relative to the lowest polymorph listed for this composition ... 0.0408 eV/atom
# Raw formation energy ... -0.695 eV per atom

# NaTb2Hg PBE relaxed
data_NaTb2Hg
_chemical_formula_sum 'Na1 Tb2 Hg1'
_cell_length_a 5.258
_cell_length_b 5.258
_cell_length_c 3.965
_cell_angle_alpha 90.00
_cell_angle_beta 90.00
_cell_angle_gamma 90.00
_space_group_name_H-M_alt 'P 1'
_space_group_IT_number 1
loop_
_space_group_symop_operation_xyz
'x,y,z'
loop_
_atom_site_label
_atom_site_fract_x
_atom_site_fract_y
_atom_site_fract_z
Na1 0.000 0.000 0.000
Tb1 0.000 0.500 0.500
Tb2 0.500 0.000 0.500
Hg1 0.500 0.500 0.000
# Formation energy ... -0.057 eV/atom
# Total moment ... 0.0000 μB per atom
# Energy relative to the lowest polymorph listed for this composition ... 0.0000 eV/atom

# Y2HgRh2 PBE relaxed
data_Y2HgRh2
_chemical_formula_sum 'Y4 Hg2 Rh4'
_cell_length_a 5.327
_cell_length_b 5.327
_cell_length_c 8.191
_cell_angle_alpha 90.00
_cell_angle_beta 90.00
_cell_angle_gamma 90.00
_space_group_name_H-M_alt 'P 1'
_space_group_IT_number 1
loop_
_space_group_symop_operation_xyz
'x,y,z'
loop_
_atom_site_label
_atom_site_fract_x
_atom_site_fract_y
_atom_site_fract_z
Y1 0.000 0.500 0.250
Y2 0.000 0.500 0.750
Y3 0.500 0.000 0.250
Y4 0.500 0.000 0.750
Hg1 0.000 0.000 0.000
Hg2 0.500 0.500 0.500
Rh1 0.000 0.000 0.341
Rh2 0.000 0.000 0.659
Rh3 0.500 0.500 0.159
Rh4 0.500 0.500 0.841
# Formation energy ... -0.484 eV/atom
# Total moment ... 0.0000 μB per atom